Record 1
Ac4Ce3SmN8 after structural relaxation, computed with PBE.

a = 7.4098 Å, b = 7.4098 Å, c = 18.4409 Å
α = 90.00°, β = 90.00°, γ = 120.00°
Last column: nearest neighbours and their distance in Å.
Space group R-3m (No. 166, hexagonal axes)
Inequivalent atoms, fractional coordinates:
Ac  0.0000  0.0000  0.0000 x3  6 N 2.72
Ac  0.0000  0.5000  0.0000 x9  6 N 2.77
Ce  0.0000  0.5000  0.5000 x9  6 N 2.51
Sm  0.0000  0.0000  0.5000 x3  6 N 2.56
N  0.0000  0.0000  0.2381 x6  3 Ce 2.51, 3 Ac 2.77
N  0.0067  0.5033  0.7605 x18  2 Ce 2.51, 1 Sm 2.56, 3 Ac 2.72-2.77

E_form (uncorrected) in eV/atom: -1.2627
Theoretical density in g cm⁻³: 9.04
Final energy in eV for the cell shown: -377.28

=====

Record 2
Cd2BiRu2 after structural relaxation, computed with PBE.

a = 6.7603 Å, b = 6.7603 Å, c = 4.4034 Å
α = 90.00°, β = 90.00°, γ = 90.00°
Last column: nearest neighbours and their distance in Å.
Space group P4/mbm (No. 127)
Inequivalent atoms, fractional coordinates:
Cd  0.1579  0.3421  0.0000 x4  6 Ru 2.96, 1 Cd 3.02
Bi  0.0000  0.0000  0.5000 x2  4 Ru 2.63
Ru  0.1348  0.6348  0.5000 x4  1 Ru 2.58, 2 Bi 2.63

Theoretical density in g cm⁻³: 10.49
Final energy in eV for the cell shown: -45.45

=====

Record 3
TmBe2Pt6 after structural relaxation, computed with PBE.

a = 10.8021 Å, b = 10.8021 Å, c = 10.8021 Å
α = 90.00°, β = 90.00°, γ = 90.00°
Last column: nearest neighbours and their distance in Å.
Space group Fd-3m (No. 227, origin choice 2)
Inequivalent atoms, fractional coordinates:
Tm  0.1250  0.1250  0.1250 x8  6 Pt 2.79
Be  0.0000  0.0000  0.5000 x16  6 Pt 2.29
Pt  0.1169  0.3750  0.8750 x48  2 Be 2.29

Theoretical density in g cm⁻³: 14.31
Final energy in eV for the cell shown: -419.35

=====

Record 4
Y2ReAu after structural relaxation, computed with PBE.

a = 7.0272 Å, b = 7.0272 Å, c = 7.0272 Å
α = 90.00°, β = 90.00°, γ = 90.00°
Last column: nearest neighbours and their distance in Å.
Space group Fm-3m (No. 225)
Inequivalent atoms, fractional coordinates:
Y  0.2500  0.2500  0.2500 x8  4 Re 3.04, 4 Au 3.04
Re  0.0000  0.0000  0.0000 x4  8 Y 3.04
Au  0.0000  0.0000  0.5000 x4  8 Y 3.04

Theoretical density in g cm⁻³: 10.74
Final energy in eV for the cell shown: -117.62
Energy above the lowest structure with this stoichiometry in meV/atom: 89

=====

Record 5
La4PdPtCl2 after structural relaxation, computed with PBE.

a = 7.3678 Å, b = 4.2711 Å, c = 7.8957 Å
α = 90.00°, β = 108.05°, γ = 90.00°
Last column: nearest neighbours and their distance in Å.
Space group P2/m (No. 10)
Inequivalent atoms, fractional coordinates:
La  0.2360  0.0000  0.2132 x2  2 Pt 2.93, 1 Pd 2.94, 3 Cl 3.25-3.28
La  0.2576  0.5000  0.7858 x2  1 Pt 2.91, 2 Pd 2.96
Pd  0.5000  0.0000  0.0000 x1  6 La 2.94-2.96
Pt  0.0000  0.5000  0.0000 x1  6 La 2.91-2.93
Cl  0.0000  0.0000  0.5000 x1  6 La 3.25-3.26
Cl  0.5000  0.5000  0.5000 x1  6 La 3.28

E_form (uncorrected) in eV/atom: -1.3072
Theoretical density in g cm⁻³: 6.52
Final energy in eV for the cell shown: -45.09

=====

Record 6
CrSb2Cl after structural relaxation, computed with PBE.

a = 8.1502 Å, b = 7.8137 Å, c = 3.2364 Å
α = 90.00°, β = 109.92°, γ = 90.00°
Last column: nearest neighbours and their distance in Å.
Space group C2/m (No. 12)
Inequivalent atoms, fractional coordinates:
Cr  0.0000  0.0000  0.0000 x2  4 Sb 2.82
Sb  0.2500  0.2500  0.0000 x4  2 Cr 2.82, 2 Cl 2.82
Cl  0.0000  0.5000  0.0000 x2  4 Sb 2.82

E_form (uncorrected) in eV/atom: 0.2055
Theoretical density in g cm⁻³: 5.67
Final energy in eV for the cell shown: -37.79
Energy above the lowest structure with this stoichiometry in meV/atom: 310

=====

Record 7
Tm2AsI3 after structural relaxation, computed with PBE.

a = 21.6682 Å, b = 4.2543 Å, c = 14.7850 Å
α = 90.00°, β = 132.67°, γ = 90.00°
Last column: nearest neighbours and their distance in Å.
Space group C2/m (No. 12)
Inequivalent atoms, fractional coordinates:
Tm  0.0843  0.0000  0.4758 x4  2 As 2.77-2.80, 2 I 3.04
Tm  0.1337  0.5000  0.8186 x4  2 As 2.74, 1 I 3.03
As  0.0898  0.0000  0.6687 x4  4 Tm 2.74-2.80
I  0.0410  0.5000  0.2745 x4  3 Tm 3.03-3.24
I  0.1744  0.0000  0.0160 x4  3 Tm 3.08-3.21
I  0.2209  0.5000  0.6164 x4  2 Tm 3.04

E_form (uncorrected) in eV/atom: -1.2505
Theoretical density in g cm⁻³: 5.26
Final energy in eV for the cell shown: -102.98

=====

Record 8
Mg2RhCl after structural relaxation, computed with PBE.

a = 3.1749 Å, b = 3.1749 Å, c = 7.1019 Å
α = 90.00°, β = 90.00°, γ = 90.00°
Last column: nearest neighbours and their distance in Å.
Space group P4/mmm (No. 123)
Inequivalent atoms, fractional coordinates:
Mg  0.0000  0.0000  0.2119 x2  4 Rh 2.70, 1 Mg 3.01
Rh  0.5000  0.5000  0.0000 x1  8 Mg 2.70
Cl  0.5000  0.5000  0.5000 x1  8 Mg 3.04, 4 Cl 3.17

E_form (uncorrected) in eV/atom: -0.7435
Theoretical density in g cm⁻³: 4.34
Final energy in eV for the cell shown: -15.36
Energy above the lowest structure with this stoichiometry in meV/atom: 66

=====

Record 9
ScTiW3 after structural relaxation, computed with PBE.

a = 4.6055 Å, b = 4.6055 Å, c = 4.6055 Å
α = 90.00°, β = 90.00°, γ = 90.00°
Last column: nearest neighbours and their distance in Å.
Space group Pm-3m (No. 221)
Inequivalent atoms, fractional coordinates:
Sc  0.0000  0.0000  0.0000 x1  6 W 2.30
Ti  0.5000  0.5000  0.5000 x1  12 W 3.26
W  0.0000  0.0000  0.5000 x3  2 Sc 2.30

Theoretical density in g cm⁻³: 10.95
Final energy in eV for the cell shown: -41.99
Energy above the lowest structure with this stoichiometry in meV/atom: 729

=====

Record 10
Ca2ScCuMo after structural relaxation, computed with PBE.

a = 5.4464 Å, b = 5.4464 Å, c = 4.7622 Å
α = 90.00°, β = 90.00°, γ = 90.00°
Last column: nearest neighbours and their distance in Å.
Space group P4/mmm (No. 123)
Inequivalent atoms, fractional coordinates:
Ca  0.0000  0.5000  0.0000 x2  2 Mo 2.72
Sc  0.0000  0.0000  0.5000 x1  8 Ca 3.62, 4 Cu 3.85
Cu  0.5000  0.5000  0.5000 x1  2 Mo 2.38
Mo  0.5000  0.5000  0.0000 x1  2 Cu 2.38

Theoretical density in g cm⁻³: 3.35
Final energy in eV for the cell shown: -19.96
Energy above the lowest structure with this stoichiometry in meV/atom: 244

=====

Record 11
Sc2ZnIr after structural relaxation, computed with PBE.

a = 4.6990 Å, b = 4.6990 Å, c = 3.1865 Å
α = 90.00°, β = 90.00°, γ = 90.00°
Last column: nearest neighbours and their distance in Å.
Space group P4/mmm (No. 123)
Inequivalent atoms, fractional coordinates:
Sc  0.0000  0.5000  0.0000 x2  4 Ir 2.84, 4 Zn 2.84
Zn  0.0000  0.0000  0.5000 x1  8 Sc 2.84
Ir  0.5000  0.5000  0.5000 x1  8 Sc 2.84

Theoretical density in g cm⁻³: 8.20
Final energy in eV for the cell shown: -25.63
Energy above the lowest structure with this stoichiometry in meV/atom: 14

=====

Record 12
ZrZn2As after structural relaxation, computed with PBE.

a = 3.9487 Å, b = 3.9501 Å, c = 8.8803 Å
α = 90.00°, β = 90.00°, γ = 90.00°
Last column: nearest neighbours and their distance in Å.
Space group Imm2 (No. 44)
Inequivalent atoms, fractional coordinates:
Zr  0.0000  0.0000  0.0000 x2  8 Zn 2.79-2.97, 4 As 2.97
Zn  0.0000  0.0000  0.4990 x2  4 Zr 2.79, 4 As 2.96-2.98, 4 Zn 2.97-2.98
Zn  0.0000  0.5000  0.2497 x2  4 As 2.79, 4 Zn 2.97-2.98, 4 Zr 2.97
As  0.0000  0.5000  0.7499 x2  8 Zn 2.79-2.98, 4 Zr 2.97

Theoretical density in g cm⁻³: 7.12
Final energy in eV for the cell shown: -34.32